The following is a DFT calculation (GGA-PBE) of a relaxed structure of InPCl2.

Output
- Calculated density: 3.89 Mg/m³
- Formation energy (no corrections): 0.1546 eV per atom
- D(E_F): 2.450 states/eV per cell

Unit cell a=6.5824 b=6.5824 c=6.5824 alpha=145.17 beta=145.17 gamma=50.08
Closest atoms and distances in Å follow each position.
Element x y z (fractional)
Cl 0.0000 0.0000 0.0000  4 In 2.79
Cl 0.2500 0.7500 0.5000  4 P 2.79
In 0.5000 0.5000 0.0000  4 Cl 2.79
P 0.7500 0.2500 0.5000  4 Cl 2.79


The following is a DFT calculation (GGA-PBE) of a relaxed structure of InPCl2.

Output
- Calculated density: 2.91 Mg/m³
- Formation energy (no corrections): -0.2270 eV per atom
- D(E_F): 0.796 states/eV per cell

Unit cell a=7.3145 b=7.3145 c=7.3145 alpha=150.04 beta=140.53 gamma=50.33
Closest atoms and distances in Å follow each position.
Element x y z (fractional)
Cl 0.9317 0.9317 0.0000  2 P 2.54
Cl 0.6615 0.1615 0.5000  2 In 2.67
In 0.5190 0.5190 0.0000  2 P 2.57, 2 Cl 2.67
P 0.3878 0.8878 0.5000  2 Cl 2.54, 2 In 2.57